The following is a PBE calculation of crystalline Cu4Pd at its relaxed geometry, from Alexandria via LeMat-Bulk.

Results
The total energy comes out at -87.75 eV/cell. The energy relative to the lowest polymorph listed for this composition is 0.00 eV per formula unit.

Unit cell a=5.893 b=5.893 c=7.317 alpha=90.00 beta=90.00 gamma=90.00
Atoms (fractional coordinates):
Cu1 0.000 0.000 0.000
Cu2 0.000 0.000 0.500
Cu3 0.096 0.297 0.249
Cu4 0.096 0.297 0.751
Cu5 0.192 0.605 0.000
Cu6 0.297 0.904 0.251
Cu7 0.297 0.904 0.749
Cu8 0.395 0.192 0.500
Cu9 0.500 0.500 0.250
Cu10 0.500 0.500 0.750
Cu11 0.605 0.808 0.500
Cu12 0.703 0.096 0.251
Cu13 0.703 0.096 0.749
Cu14 0.808 0.395 0.000
Cu15 0.904 0.703 0.249
Cu16 0.904 0.703 0.751
Pd1 0.208 0.603 0.500
Pd2 0.397 0.208 0.000
Pd3 0.603 0.792 0.000
Pd4 0.792 0.397 0.500


The following is a PBE calculation of crystalline LiMgCdHg2 at its relaxed geometry, from Alexandria via LeMat-Bulk.

Results
The total energy comes out at -5.84 eV/cell.

Unit cell a=4.777 b=4.777 c=5.862 alpha=90.00 beta=90.00 gamma=120.00
Atoms (fractional coordinates):
Li1 0.000 0.000 0.000
Mg1 0.333 0.667 0.641
Cd1 0.667 0.333 0.289
Hg1 0.000 0.000 0.483
Hg2 0.667 0.333 0.811


The following is a PBE calculation of crystalline PmY3Hg6 at its relaxed geometry, from Alexandria via LeMat-Bulk.

Results
The total energy comes out at -60.89 eV/cell.

Unit cell a=9.217 b=5.192 c=11.214 alpha=90.00 beta=106.97 gamma=90.00
Atoms (fractional coordinates):
Pm1 0.066 0.250 0.386
Pm2 0.934 0.750 0.614
Y1 0.229 0.250 0.006
Y2 0.353 0.750 0.802
Y3 0.486 0.250 0.613
Y4 0.514 0.750 0.387
Y5 0.647 0.250 0.198
Y6 0.771 0.750 0.994
Hg1 0.064 0.750 0.904
Hg2 0.140 0.750 0.204
Hg3 0.169 0.250 0.690
Hg4 0.250 0.750 0.517
Hg5 0.355 0.250 0.294
Hg6 0.465 0.750 0.092
Hg7 0.535 0.250 0.908
Hg8 0.645 0.750 0.706
Hg9 0.750 0.250 0.483
Hg10 0.831 0.750 0.310
Hg11 0.860 0.250 0.796
Hg12 0.936 0.250 0.096


The following is a PBE calculation of crystalline CaZnAu2 at its relaxed geometry, from Alexandria via LeMat-Bulk.

Results
The total energy comes out at -10.18 eV/cell.

Unit cell a=6.242 b=6.242 c=6.242 alpha=142.56 beta=141.49 gamma=54.79
Atoms (fractional coordinates):
Ca1 0.000 0.000 0.000
Zn1 0.500 0.500 0.000
Au1 0.275 0.275 0.000
Au2 0.725 0.725 0.000


The following is a PBE calculation of crystalline YTl2Ag2 at its relaxed geometry, from Alexandria via LeMat-Bulk.

Results
The total energy comes out at -33.52 eV/cell. The energy relative to the lowest polymorph listed for this composition is 0.27 eV per formula unit.

Unit cell a=8.401 b=8.401 c=3.474 alpha=90.00 beta=90.00 gamma=90.00
Atoms (fractional coordinates):
Y1 0.000 0.000 0.000
Y2 0.500 0.500 0.000
Tl1 0.138 0.362 0.000
Tl2 0.362 0.862 0.000
Tl3 0.638 0.138 0.000
Tl4 0.862 0.638 0.000
Ag1 0.161 0.661 0.500
Ag2 0.339 0.161 0.500
Ag3 0.661 0.839 0.500
Ag4 0.839 0.339 0.500


The following is a PBE calculation of crystalline Pr2Er6Pu at its relaxed geometry, from Alexandria via LeMat-Bulk.

Results
The total energy comes out at -100.74 eV/cell.

Unit cell a=6.594 b=10.012 c=10.059 alpha=60.50 beta=84.66 gamma=79.35
Atoms (fractional coordinates):
Pr1 0.080 0.215 0.440
Pr2 0.417 0.851 0.442
Pr3 0.583 0.149 0.558
Pr4 0.920 0.785 0.560
Er1 0.005 0.116 0.174
Er2 0.157 0.208 0.788
Er3 0.165 0.546 0.099
Er4 0.333 0.857 0.101
Er5 0.347 0.508 0.786
Er6 0.482 0.213 0.168
Er7 0.518 0.787 0.832
Er8 0.653 0.492 0.214
Er9 0.667 0.143 0.899
Er10 0.835 0.454 0.901
Er11 0.843 0.792 0.212
Er12 0.995 0.884 0.826
Pu1 0.250 0.527 0.448
Pu2 0.750 0.473 0.552


The evaluated mass density for the records listed, in turn: 9.43 7.81 10.45 9.08 9.66 8.94 g/cm3.